Below is a relaxed structure of AcTmSnIr, with properties calculated at the PBE level.

## Properties
The calculated formation energy is -0.419 eV/atom. Its electronic total energy is -5.78 eV per atom. As for the space group: F-43m.

```
4
Lattice="0.0000 3.7454 3.7454 3.7454 0.0000 3.7454 3.7454 3.7454 0.0000" Properties=species:S:1:pos:R:3 pbc="T T T"
Ac 0.0000 0.0000 0.0000
Tm 3.7454 3.7454 3.7454
Sn 5.6181 5.6181 5.6181
Ir 1.8727 1.8727 1.8727
```

Below is a relaxed structure of ScW2N, with properties calculated at the PBE level.

## Properties
Its electronic total energy is -10.20 eV per atom. As for the space group: I-42d. Its uncorrected formation energy is -0.226 eV per formula unit.

```
8
Lattice="-3.5728 3.5728 2.3099 3.5728 -3.5728 2.3099 3.5728 3.5728 -2.3099" Properties=species:S:1:pos:R:3 pbc="T T T"
Sc 0.0000 0.0000 0.0000
Sc 0.0000 3.5728 1.1549
W 1.7864 -0.9674 1.7324
W 2.6054 1.7864 0.5775
W 1.7864 4.5403 -0.5775
W 0.9674 1.7864 2.8874
N 3.5728 0.0000 1.1549
N 0.0000 0.0000 2.3099
```

Below is a relaxed structure of InRh2Au2, with properties calculated at the PBE level.

## Properties
The excess energy over the best structure of this formula in the dataset is 143 meV/atom. The calculated formation energy is 0.188 eV/atom. Its electronic total energy is -4.61 eV per atom. As for the space group: P4/mbm.

```
10
Lattice="7.3181 0.0000 0.0000 0.0000 7.3181 0.0000 0.0000 0.0000 3.3645" Properties=species:S:1:pos:R:3 pbc="T T T"
In 0.0000 0.0000 0.0000
In 3.6590 3.6590 0.0000
Rh 1.1257 2.5333 1.6823
Rh 2.5333 6.1924 1.6823
Rh 4.7848 1.1257 1.6823
Rh 6.1924 4.7848 1.6823
Au 1.0418 4.7009 0.0000
Au 2.6172 1.0418 0.0000
Au 4.7009 6.2763 0.0000
Au 6.2763 2.6172 0.0000
```

Below is a relaxed structure of PrErAl2Zn2, with properties calculated at the PBE level.

## Properties
The calculated formation energy is -0.448 eV/atom. Its electronic total energy is -3.68 eV per atom. As for the space group: P-3m1.

```
6
Lattice="4.5117 0.0000 0.0000 -2.2559 3.9073 0.0000 0.0000 0.0000 7.3895" Properties=species:S:1:pos:R:3 pbc="T T T"
Pr 0.0000 0.0000 0.0000
Er 0.0000 0.0000 3.6948
Al 0.0000 2.6048 5.3646
Al 2.2559 1.3024 2.0249
Zn 0.0000 2.6048 2.0957
Zn 2.2559 1.3024 5.2938
```

Below is a relaxed structure of Nd6As2PtS3, with properties calculated at the PBE level.

## Properties
Its electronic total energy is -6.38 eV per atom. As for the space group: C2/m. Its uncorrected formation energy is -20.249 eV per formula unit.

```
12
Lattice="9.1027 -2.0778 0.0000 9.1027 2.0778 0.0000 -1.9139 0.0000 8.1535" Properties=species:S:1:pos:R:3 pbc="T T T"
Nd -0.4584 0.0000 2.0418
Nd 5.2475 0.0000 3.3987
Nd 4.3143 0.0000 7.4622
Nd 11.9772 0.0000 0.6913
Nd 11.0439 0.0000 4.7549
Nd 16.7498 0.0000 6.1117
As 1.4281 0.0000 6.7970
As 14.8634 0.0000 1.3565
Pt 8.1457 0.0000 4.0768
S 2.4284 0.0000 2.7252
S 9.1027 0.0000 0.0000
S 13.8631 0.0000 5.4284
```

Below is a relaxed structure of Li2Mg5Ga4, with properties calculated at the PBE level.

## Properties
The excess energy over the best structure of this formula in the dataset is 0 meV/atom. The calculated formation energy is -0.133 eV/atom. Its electronic total energy is -2.31 eV per atom. As for the space group: C2/m.

```
11
Lattice="9.0775 -2.2036 0.0000 9.0775 2.2036 0.0000 -1.3695 0.0000 5.5058" Properties=species:S:1:pos:R:3 pbc="T T T"
Li 1.2609 0.0000 0.4409
Li 15.5246 0.0000 5.0649
Mg -0.6848 0.0000 2.7529
Mg 4.2313 0.0000 5.3998
Mg 6.1194 0.0000 2.9409
Mg 10.6661 0.0000 2.5649
Mg 12.5543 0.0000 0.1060
Ga 3.4502 0.0000 2.0080
Ga 8.2764 0.0000 1.0331
Ga 8.5091 0.0000 4.4727
Ga 13.3353 0.0000 3.4978
```

Below is a relaxed structure of NbVPbBr2, with properties calculated at the PBE level.

## Properties
Its electronic total energy is -4.33 eV per atom. As for the space group: P4/mmm. Its uncorrected formation energy is 4.579 eV per formula unit.

```
5
Lattice="4.9771 0.0000 0.0000 0.0000 4.9771 0.0000 0.0000 0.0000 5.9796" Properties=species:S:1:pos:R:3 pbc="T T T"
Nb 0.0000 0.0000 0.0000
V 2.4886 2.4886 2.9898
Pb 0.0000 0.0000 2.9898
Br 0.0000 2.4886 0.0000
Br 2.4886 0.0000 0.0000
```

Below is a relaxed structure of Mn2IrCl, with properties calculated at the PBE level.

## Properties
The excess energy over the best structure of this formula in the dataset is 634 meV/atom. Its electronic total energy is -6.73 eV per atom. As for the space group: Immm. Its uncorrected formation energy is 2.145 eV per formula unit.

```
4
Lattice="-1.5198 2.6101 4.0293 1.5198 -2.6101 4.0293 1.5198 2.6101 -4.0293" Properties=species:S:1:pos:R:3 pbc="T T T"
Mn 0.0000 0.0000 1.9232
Mn 0.0000 0.0000 6.1354
Ir 0.0000 2.6101 0.0000
Cl 1.5198 0.0000 0.0000
```

electronic total energy of number 8 (Mn2IrCl)?
-6.73 eV per atom

The highest electronic total energy belongs to which entry?
Li2Mg5Ga4